U2Zn16Sn | PBE | optimized geometry

Computed properties:
- SG = R3m (160)
- calculated volume (Å³/atom) = 16.702
- E_form (eV per atom) = -0.04

Unit cell a=6.858 b=6.858 c=6.858 alpha=83.87 beta=83.87 gamma=83.87
Fractional positions:
U 0.000 0.000 0.000
U 0.322 0.322 0.322
Zn 0.014 0.014 0.484
Zn 0.014 0.484 0.014
Zn 0.175 0.650 0.650
Zn 0.310 0.310 0.824
Zn 0.310 0.824 0.310
Zn 0.347 0.660 0.969
Zn 0.347 0.969 0.660
Zn 0.484 0.014 0.014
Zn 0.553 0.553 0.553
Zn 0.650 0.175 0.650
Zn 0.650 0.650 0.175
Zn 0.660 0.347 0.969
Zn 0.660 0.969 0.347
Zn 0.824 0.310 0.310
Zn 0.969 0.347 0.660
Zn 0.969 0.660 0.347
Sn 0.760 0.760 0.760

***

Li3Tl2Pd7 | PBE | optimized geometry

Computed properties:
- SG = P2/m (10)
- ΔE to the lowest computed polymorph (meV/atom) = 27
- calculated volume (Å³/atom) = 17.616
- E_form (eV per atom) = -0.21

Unit cell a=4.327 b=3.121 c=15.804 alpha=90.00 beta=97.87 gamma=90.00
Fractional positions:
Li 0.000 0.000 0.000
Li 0.295 0.500 0.590
Li 0.705 0.500 0.410
Tl 0.137 0.000 0.276
Tl 0.863 0.000 0.724
Pd 0.063 0.500 0.126
Pd 0.224 0.000 0.447
Pd 0.425 0.000 0.849
Pd 0.500 0.500 0.000
Pd 0.575 0.000 0.151
Pd 0.776 0.000 0.553
Pd 0.937 0.500 0.874